MgZr2HgC after structural relaxation, computed with PBE-GGA.

Lattice parameters (Å, degrees): 4.579 4.579 4.376 90.00 90.00 90.00
Positions (direct):
Hg: 0.500 0.500 0.500
C: 0.000 0.000 0.000
Mg: 0.000 0.000 0.500
Zr: 0.500 0.000 0.000
Zr: 0.000 0.500 0.000

Computed properties:
For the formation energy, the calculation gives -0.29 eV per atom. Its space group is P4/mmm (123).